# NdUPa GGA-PBE optimized geometry
# * energy of formation: 1.192 eV per atom
# * volume: 83.4 Å³/cell
data_NdUPa
_cell_length_a 4.905
_cell_length_b 4.905
_cell_length_c 4.905
_cell_angle_alpha 60.00
_cell_angle_beta 60.00
_cell_angle_gamma 60.00
_space_group_name_H-M_alt 'P 1'
_space_group_IT_number 1
loop_
_space_group_symop_operation_xyz
'x,y,z'
loop_
_atom_site_label
_atom_site_type_symbol
_atom_site_fract_x
_atom_site_fract_y
_atom_site_fract_z
U1 U 0.000 0.000 0.000
Nd1 Nd 0.250 0.250 0.250
Pa1 Pa 0.750 0.750 0.750

=====

# NdPaW GGA-PBE optimized geometry
# * energy of formation: 1.475 eV per atom
# * volume: 77.7 Å³/cell
data_NdPaW
_cell_length_a 4.790
_cell_length_b 4.790
_cell_length_c 4.790
_cell_angle_alpha 60.00
_cell_angle_beta 60.00
_cell_angle_gamma 60.00
_space_group_name_H-M_alt 'P 1'
_space_group_IT_number 1
loop_
_space_group_symop_operation_xyz
'x,y,z'
loop_
_atom_site_label
_atom_site_type_symbol
_atom_site_fract_x
_atom_site_fract_y
_atom_site_fract_z
W1 W 0.750 0.750 0.750
Nd1 Nd 0.000 0.000 0.000
Pa1 Pa 0.250 0.250 0.250

=====

# NdPaZn GGA-PBE optimized geometry
# * energy of formation: 0.441 eV per atom
# * volume: 82.8 Å³/cell
data_NdPaZn
_cell_length_a 4.892
_cell_length_b 4.892
_cell_length_c 4.892
_cell_angle_alpha 60.00
_cell_angle_beta 60.00
_cell_angle_gamma 60.00
_space_group_name_H-M_alt 'P 1'
_space_group_IT_number 1
loop_
_space_group_symop_operation_xyz
'x,y,z'
loop_
_atom_site_label
_atom_site_type_symbol
_atom_site_fract_x
_atom_site_fract_y
_atom_site_fract_z
Nd1 Nd 0.500 0.500 0.500
Zn1 Zn 0.250 0.250 0.250
Pa1 Pa 0.000 0.000 0.000

=====

# NdPb GGA-PBE optimized geometry
# * total DFT energy (no corrections): -4.652 eV/atom
# * volume: 67.0 Å³/cell
data_NdPb
_cell_length_a 4.559
_cell_length_b 4.559
_cell_length_c 4.559
_cell_angle_alpha 60.00
_cell_angle_beta 60.00
_cell_angle_gamma 60.00
_space_group_name_H-M_alt 'P 1'
_space_group_IT_number 1
loop_
_space_group_symop_operation_xyz
'x,y,z'
loop_
_atom_site_label
_atom_site_type_symbol
_atom_site_fract_x
_atom_site_fract_y
_atom_site_fract_z
Nd1 Nd 0.000 0.000 0.000
Pb1 Pb 0.500 0.500 0.500

=====

# NdPb GGA-PBE optimized geometry
# * total DFT energy (no corrections): -3.932 eV/atom
# * volume: 91.6 Å³/cell
data_NdPb
_cell_length_a 5.060
_cell_length_b 5.060
_cell_length_c 5.060
_cell_angle_alpha 60.00
_cell_angle_beta 60.00
_cell_angle_gamma 60.00
_space_group_name_H-M_alt 'P 1'
_space_group_IT_number 1
loop_
_space_group_symop_operation_xyz
'x,y,z'
loop_
_atom_site_label
_atom_site_type_symbol
_atom_site_fract_x
_atom_site_fract_y
_atom_site_fract_z
Pb1 Pb 0.250 0.250 0.250
Nd1 Nd 0.000 0.000 0.000

=====

# NdPb3 GGA-PBE optimized geometry
# * total DFT energy (no corrections): -4.341 eV/atom
# * volume: 119.3 Å³/cell
data_NdPb3
_cell_length_a 4.922
_cell_length_b 4.922
_cell_length_c 4.925
_cell_angle_alpha 90.00
_cell_angle_beta 90.00
_cell_angle_gamma 90.00
_space_group_name_H-M_alt 'P 1'
_space_group_IT_number 1
loop_
_space_group_symop_operation_xyz
'x,y,z'
loop_
_atom_site_label
_atom_site_type_symbol
_atom_site_fract_x
_atom_site_fract_y
_atom_site_fract_z
Pb1 Pb 0.000 0.500 0.917
Pb2 Pb 0.500 0.000 0.917
Pb3 Pb 0.500 0.500 0.417
Nd1 Nd 0.000 0.000 0.416

=====

# NdPb GGA-PBE optimized geometry
# * total DFT energy (no corrections): -4.585 eV/atom
# * volume: 62.7 Å³/cell
data_NdPb
_cell_length_a 3.658
_cell_length_b 3.658
_cell_length_c 5.407
_cell_angle_alpha 90.00
_cell_angle_beta 90.00
_cell_angle_gamma 119.99
_space_group_name_H-M_alt 'P 1'
_space_group_IT_number 1
loop_
_space_group_symop_operation_xyz
'x,y,z'
loop_
_atom_site_label
_atom_site_type_symbol
_atom_site_fract_x
_atom_site_fract_y
_atom_site_fract_z
Pb1 Pb 0.333 0.667 0.250
Nd1 Nd 0.667 0.333 0.750

=====

# NdPb2 GGA-PBE optimized geometry
# * total DFT energy (no corrections): -4.248 eV/atom
# * volume: 189.4 Å³/cell
data_NdPb2
_cell_length_a 6.446
_cell_length_b 6.446
_cell_length_c 6.446
_cell_angle_alpha 60.00
_cell_angle_beta 60.00
_cell_angle_gamma 60.00
_space_group_name_H-M_alt 'P 1'
_space_group_IT_number 1
loop_
_space_group_symop_operation_xyz
'x,y,z'
loop_
_atom_site_label
_atom_site_type_symbol
_atom_site_fract_x
_atom_site_fract_y
_atom_site_fract_z
Pb1 Pb 0.625 0.625 0.125
Pb2 Pb 0.625 0.125 0.625
Pb3 Pb 0.125 0.625 0.625
Pb4 Pb 0.625 0.625 0.625
Nd1 Nd 0.250 0.250 0.250
Nd2 Nd 0.000 0.000 0.000

=====

The lowest volume belongs to which entry? number 7

=====

volume of number 7 (NdPb)? 62.7 Å³/cell

=====

Repeat the third record exactly.
# NdPaZn GGA-PBE optimized geometry
# * energy of formation: 0.441 eV per atom
# * volume: 82.8 Å³/cell
data_NdPaZn
_cell_length_a 4.892
_cell_length_b 4.892
_cell_length_c 4.892
_cell_angle_alpha 60.00
_cell_angle_beta 60.00
_cell_angle_gamma 60.00
_space_group_name_H-M_alt 'P 1'
_space_group_IT_number 1
loop_
_space_group_symop_operation_xyz
'x,y,z'
loop_
_atom_site_label
_atom_site_type_symbol
_atom_site_fract_x
_atom_site_fract_y
_atom_site_fract_z
Nd1 Nd 0.500 0.500 0.500
Zn1 Zn 0.250 0.250 0.250
Pa1 Pa 0.000 0.000 0.000

=====

Among the records above, which one has the lowest volume? number 7